Computed, not measured: an optimized crystal structure of LiY2Ge4Au3 at the PBE level of DFT.

For the formation energy, the calculation gives -0.54 eV/atom. For the energy, the calculation gives -4.86 eV/atom. Its density is 8.894 Mg/m³.

The structure belongs to space group P-4m2 (No. 115); the cell edges are 4.136, 4.136 and 11.637 Å and the angles 90.00°, 90.00° and 90.00°. The asymmetric unit holds Li at (0.000, 0.000, 0.000), Y at (0.000, 0.500, 0.770), Ge at (0.000, 0.000, 0.500), Ge at (0.000, 0.500, 0.135), Ge at (0.500, 0.500, 0.500), Au at (0.000, 0.500, 0.351) and Au at (0.500, 0.500, 0.000).